Entry from Alexandria: a relaxed Sr2Ni2Os crystal (PBE-GGA).

Values from the calculation:
density of states at the Fermi level	7.530	states/eV per cell
calculated formation energy	345.7	meV per atom
total magnetic moment	0.160	μB per formula unit
VASP energy	-0.1795	Ha/atom

abc: 6.541 6.541 4.801
angles: 90.00 90.00 90.00
Space group P4/mbm (No. 127)
Unique sites:
Sr  0.184  0.316  0.000 (multiplicity 4)
Ni  0.133  0.633  0.500 (multiplicity 4)
Os  0.000  0.000  0.500 (multiplicity 2)